(1)
Here is crystalline MnAg2As at its relaxed geometry from Alexandria via LeMat-Bulk. Energies are from PBE-GGA.

Cell lengths 3.0286, 3.0286, 26.9857 Å; angles 90.00, 90.00, 120.00 degrees
Space group R-3m (No. 166, hexagonal axes)
Asymmetric unit:
Mn (0.0000, 0.0000, 0.0000)
Ag (0.0000, 0.0000, 0.2525)
As (0.0000, 0.0000, 0.5000)

(2)
Here is crystalline MnAgAs2 at its relaxed geometry from Alexandria via LeMat-Bulk. Energies are from PBE-GGA.

Cell lengths 6.9569, 6.9553, 2.9130 Å; angles 90.00, 90.48, 90.00 degrees
Space group C2/m (No. 12)
Asymmetric unit:
Mn (0.0000, 0.0000, 0.0000)
Ag (0.0000, 0.5000, 0.0000)
As (0.2500, 0.2500, 0.5000)

Calculated values
* offset from the most stable computed form: 148 meV/atom

(3)
Here is crystalline MnAgAs2 at its relaxed geometry from Alexandria via LeMat-Bulk. Energies are from PBE-GGA.

Cell lengths 3.7321, 4.5958, 8.0993 Å; angles 90.00, 90.00, 90.00 degrees
Space group Cmmm (No. 65)
Asymmetric unit:
Mn (0.0000, 0.0000, 0.0000)
Ag (0.0000, 0.0000, 0.5000)
As (0.0000, 0.5000, 0.2120)

Calculated values
* offset from the most stable computed form: 96 meV/atom

(4)
Here is crystalline MnAgAs2 at its relaxed geometry from Alexandria via LeMat-Bulk. Energies are from PBE-GGA.

Cell lengths 2.9771, 4.6260, 5.3407 Å; angles 90.00, 105.43, 90.00 degrees
Space group Pm (No. 6)
Asymmetric unit:
Mn (0.0000, 0.0000, 0.0000)
Ag (0.1820, 0.5000, 0.3635)
As (0.4082, 0.5000, 0.8872)
As (0.7275, 0.0000, 0.4475)

Calculated values
* offset from the most stable computed form: 134 meV/atom

(5)
Here is crystalline MnAgAs2 at its relaxed geometry from Alexandria via LeMat-Bulk. Energies are from PBE-GGA.

Cell lengths 6.3520, 6.3520, 6.3520 Å; angles 90.00, 90.00, 90.00 degrees
Space group Fm-3m (No. 225)
Asymmetric unit:
Mn (0.0000, 0.0000, 0.0000)
Ag (0.0000, 0.0000, 0.5000)
As (0.2500, 0.2500, 0.2500)

Calculated values
* offset from the most stable computed form: 475 meV/atom

(6)
Here is crystalline MnAg2As2 at its relaxed geometry from Alexandria via LeMat-Bulk. Energies are from PBE-GGA.

Cell lengths 3.8030, 3.8030, 13.8929 Å; angles 90.00, 90.00, 90.00 degrees
Space group I4/mmm (No. 139)
Asymmetric unit:
Mn (0.0000, 0.0000, 0.0000)
Ag (0.0000, 0.0000, 0.4043)
As (0.0000, 0.5000, 0.2500)

Calculated values
* offset from the most stable computed form: 298 meV/atom

(7)
Here is crystalline MnAg2As at its relaxed geometry from Alexandria via LeMat-Bulk. Energies are from PBE-GGA.

Cell lengths 9.0147, 2.9798, 5.3339 Å; angles 90.00, 99.45, 90.00 degrees
Space group Cm (No. 8)
Asymmetric unit:
Mn (0.0000, 0.0000, 0.0000)
Ag (0.2535, 0.0000, 0.7368)
Ag (0.4984, 0.0000, 0.4921)
As (0.2334, 0.5000, 0.1903)

(8)
Here is crystalline Mn3AgAs at its relaxed geometry from Alexandria via LeMat-Bulk. Energies are from PBE-GGA.

Cell lengths 4.8432, 4.8432, 4.8432 Å; angles 90.00, 90.00, 90.00 degrees
Space group Pm-3m (No. 221)
Asymmetric unit:
Mn (0.0000, 0.0000, 0.5000)
Ag (0.0000, 0.0000, 0.0000)
As (0.5000, 0.5000, 0.5000)

Calculated values
* offset from the most stable computed form: 553 meV/atom

(9)
Here is crystalline MnAgAs2 at its relaxed geometry from Alexandria via LeMat-Bulk. Energies are from PBE-GGA.

Cell lengths 3.8938, 3.8938, 9.2947 Å; angles 90.00, 90.00, 90.00 degrees
Space group I-4m2 (No. 119)
Asymmetric unit:
Mn (0.0000, 0.0000, 0.0000)
Ag (0.0000, 0.5000, 0.7500)
As (0.0000, 0.0000, 0.5000)
As (0.0000, 0.5000, 0.2500)

Calculated values
* offset from the most stable computed form: 186 meV/atom

(10)
Here is crystalline MnAgAs2 at its relaxed geometry from Alexandria via LeMat-Bulk. Energies are from PBE-GGA.

Cell lengths 3.1467, 3.1467, 24.0280 Å; angles 90.00, 90.00, 120.00 degrees
Space group R-3m (No. 166, hexagonal axes)
Asymmetric unit:
Mn (0.0000, 0.0000, 0.0000)
Ag (0.0000, 0.0000, 0.5000)
As (0.0000, 0.0000, 0.2639)

Calculated values
* offset from the most stable computed form: 0 meV/atom

(11)
Here is crystalline MnAg2As at its relaxed geometry from Alexandria via LeMat-Bulk. Energies are from PBE-GGA.

Cell lengths 3.8930, 3.9045, 4.5764 Å; angles 90.00, 90.00, 90.00 degrees
Space group Pmmm (No. 47)
Asymmetric unit:
Mn (0.0000, 0.0000, 0.0000)
Ag (0.0000, 0.5000, 0.5000)
Ag (0.5000, 0.0000, 0.5000)
As (0.5000, 0.5000, 0.0000)

(12)
Here is crystalline MnAg2As at its relaxed geometry from Alexandria via LeMat-Bulk. Energies are from PBE-GGA.

Cell lengths 3.9324, 3.9446, 9.0474 Å; angles 90.00, 90.00, 90.00 degrees
Space group Immm (No. 71)
Asymmetric unit:
Mn (0.0000, 0.0000, 0.0000)
Ag (0.0000, 0.5000, 0.2496)
As (0.0000, 0.0000, 0.5000)

Number 1: ΔE_f 0.313 eV per atom. Number 2: ΔE_f 0.172 eV per atom. Number 3: ΔE_f 0.119 eV per atom. Number 4: ΔE_f 0.157 eV per atom. Number 5: ΔE_f 0.498 eV per atom. Number 6: ΔE_f 0.407 eV per atom. Number 7: ΔE_f 0.208 eV per atom. Number 8: ΔE_f 1.121 eV per atom. Number 9: ΔE_f 0.209 eV per atom. Number 10: ΔE_f 0.023 eV per atom. Number 11: ΔE_f 0.121 eV per atom. Number 12: ΔE_f 0.159 eV per atom.